{
  "formula": "Na2AcAgF8",
  "functional": "GGA-PBE",
  "state": "relaxed",
  "energy_ry_per_atom": -0.346,
  "m_tot_mub_per_fu": 0.11,
  "e_form_raw_ev_per_atom": -2.66,
  "lattice": [[-2.216, -3.445, 0.374], [2.883, -0.992, 4.589], [-5.935, 4.299, 4.201]],
  "species": ["Na", "Na", "F", "F", "F", "F", "F", "F", "F", "F", "Ac", "Ag"],
  "frac_coords": [[0.517, 0.495, 0.235], [0.483, 0.505, 0.765], [0.497, 0.767, 0.560], [0.503, 0.233, 0.440], [0.377, 0.236, 0.982], [0.922, 0.171, 0.205], [0.964, 0.314, 0.708], [0.623, 0.764, 0.018], [0.078, 0.829, 0.795], [0.036, 0.686, 0.292], [0.000, 0.000, 0.500], [0.000, 0.000, 0.000]]
}